Below is crystalline HfFeAgPb at its relaxed geometry, with properties calculated at the PBE-GGA level.

Cell and atoms, written as CIF:
```
data_HfFeAgPb
_symmetry_space_group_name_H-M 'P 1'
_symmetry_Int_Tables_number 1
_cell_length_a 4.6892
_cell_length_b 4.6892
_cell_length_c 4.6892
_cell_angle_alpha 60.00
_cell_angle_beta 60.00
_cell_angle_gamma 60.00
loop_
_symmetry_equiv_pos_as_xyz
'x,y,z'
loop_
_atom_site_label
_atom_site_fract_x
_atom_site_fract_y
_atom_site_fract_z
Hf1 0.0000 0.0000 0.0000
Fe1 0.5000 0.5000 0.5000
Ag1 0.7500 0.7500 0.7500
Pb1 0.2500 0.2500 0.2500
```

Results
- total energy (eV per cell) = -23.4

---

Below is crystalline Lu8Ni2C3N3 at its relaxed geometry, with properties calculated at the PBE-GGA level.

Cell and atoms, written as CIF:
```
data_Lu8Ni2C3N3
_symmetry_space_group_name_H-M 'P 1'
_symmetry_Int_Tables_number 1
_cell_length_a 3.4138
_cell_length_b 3.4138
_cell_length_c 24.3983
_cell_angle_alpha 90.00
_cell_angle_beta 90.00
_cell_angle_gamma 120.00
loop_
_symmetry_equiv_pos_as_xyz
'x,y,z'
loop_
_atom_site_label
_atom_site_fract_x
_atom_site_fract_y
_atom_site_fract_z
Lu1 0.0000 0.0000 0.1662
Lu2 0.0000 0.0000 0.3280
Lu3 0.0000 0.0000 0.6720
Lu4 0.0000 0.0000 0.8338
Lu5 0.3333 0.6667 0.5592
Lu6 0.3333 0.6667 0.9449
Lu7 0.6667 0.3333 0.0551
Lu8 0.6667 0.3333 0.4408
Ni1 0.3333 0.6667 0.7559
Ni2 0.6667 0.3333 0.2441
C1 0.0000 0.0000 0.5000
C2 0.3333 0.6667 0.3780
C3 0.6667 0.3333 0.6220
N1 0.0000 0.0000 0.0000
N2 0.3333 0.6667 0.1128
N3 0.6667 0.3333 0.8872
```

Results
- total energy (eV per cell) = -112.9

---

Below is crystalline ErCo2Ni at its relaxed geometry, with properties calculated at the PBE-GGA level.

Cell and atoms, written as CIF:
```
data_ErCo2Ni
_symmetry_space_group_name_H-M 'P 1'
_symmetry_Int_Tables_number 1
_cell_length_a 8.6656
_cell_length_b 8.6656
_cell_length_c 8.6656
_cell_angle_alpha 32.67
_cell_angle_beta 32.67
_cell_angle_gamma 32.67
loop_
_symmetry_equiv_pos_as_xyz
'x,y,z'
loop_
_atom_site_label
_atom_site_fract_x
_atom_site_fract_y
_atom_site_fract_z
Er1 0.0000 0.0000 0.0000
Er2 0.1388 0.1388 0.1388
Er3 0.8612 0.8612 0.8612
Co1 0.0805 0.5819 0.5819
Co2 0.4181 0.4181 0.9195
Co3 0.4181 0.9195 0.4181
Co4 0.5819 0.0805 0.5819
Co5 0.5819 0.5819 0.0805
Co6 0.9195 0.4181 0.4181
Ni1 0.3336 0.3336 0.3336
Ni2 0.5000 0.5000 0.5000
Ni3 0.6664 0.6664 0.6664
```

Results
- energy of formation (eV per atom) = -0.277

---

Below is crystalline BaHfAu at its relaxed geometry, with properties calculated at the PBE-GGA level.

Cell and atoms, written as CIF:
```
data_BaHfAu
_symmetry_space_group_name_H-M 'P 1'
_symmetry_Int_Tables_number 1
_cell_length_a 5.1031
_cell_length_b 5.1031
_cell_length_c 5.1031
_cell_angle_alpha 60.00
_cell_angle_beta 60.00
_cell_angle_gamma 60.00
loop_
_symmetry_equiv_pos_as_xyz
'x,y,z'
loop_
_atom_site_label
_atom_site_fract_x
_atom_site_fract_y
_atom_site_fract_z
Ba1 0.0000 0.0000 0.0000
Hf1 0.2500 0.2500 0.2500
Au1 0.7500 0.7500 0.7500
```

Results
- total energy (eV per cell) = -11.9

---

Below is crystalline LaAgTe3Pb at its relaxed geometry, with properties calculated at the PBE-GGA level.

Cell and atoms, written as CIF:
```
data_LaAgTe3Pb
_symmetry_space_group_name_H-M 'P 1'
_symmetry_Int_Tables_number 1
_cell_length_a 10.4038
_cell_length_b 10.4038
_cell_length_c 9.0908
_cell_angle_alpha 102.85
_cell_angle_beta 102.85
_cell_angle_gamma 24.67
loop_
_symmetry_equiv_pos_as_xyz
'x,y,z'
loop_
_atom_site_label
_atom_site_fract_x
_atom_site_fract_y
_atom_site_fract_z
La1 0.1621 0.1621 0.0906
La2 0.8379 0.8379 0.9094
Ag1 0.4601 0.4601 0.7865
Ag2 0.5399 0.5399 0.2135
Te1 0.0000 0.0000 0.0000
Te2 0.3195 0.3195 0.6507
Te3 0.3263 0.3263 0.1561
Te4 0.5000 0.5000 0.5000
Te5 0.6737 0.6737 0.8439
Te6 0.6805 0.6805 0.3493
Pb1 0.1239 0.1239 0.5705
Pb2 0.8761 0.8761 0.4295
```

Results
- total energy (eV per cell) = -51.0

---

Below is crystalline RbMg2Cd2Sb3 at its relaxed geometry, with properties calculated at the PBE-GGA level.

Cell and atoms, written as CIF:
```
data_RbMg2Cd2Sb3
_symmetry_space_group_name_H-M 'P 1'
_symmetry_Int_Tables_number 1
_cell_length_a 4.7436
_cell_length_b 4.7436
_cell_length_c 11.3085
_cell_angle_alpha 90.00
_cell_angle_beta 90.00
_cell_angle_gamma 90.00
loop_
_symmetry_equiv_pos_as_xyz
'x,y,z'
loop_
_atom_site_label
_atom_site_fract_x
_atom_site_fract_y
_atom_site_fract_z
Rb1 0.0000 0.0000 0.0000
Mg1 0.0000 0.5000 0.3300
Mg2 0.5000 0.0000 0.3300
Cd1 0.0000 0.5000 0.6593
Cd2 0.5000 0.0000 0.6593
Sb1 0.0000 0.0000 0.4870
Sb2 0.5000 0.5000 0.1902
Sb3 0.5000 0.5000 0.8075
```

Results
- total energy (eV per cell) = -20.9

---

Below is crystalline UOsPd at its relaxed geometry, with properties calculated at the PBE-GGA level.

Cell and atoms, written as CIF:
```
data_UOsPd
_symmetry_space_group_name_H-M 'P 1'
_symmetry_Int_Tables_number 1
_cell_length_a 4.4722
_cell_length_b 4.4722
_cell_length_c 4.4722
_cell_angle_alpha 60.00
_cell_angle_beta 60.00
_cell_angle_gamma 60.00
loop_
_symmetry_equiv_pos_as_xyz
'x,y,z'
loop_
_atom_site_label
_atom_site_fract_x
_atom_site_fract_y
_atom_site_fract_z
U1 0.0000 0.0000 0.0000
Os1 0.7500 0.7500 0.7500
Pd1 0.2500 0.2500 0.2500
```

Results
- energy of formation (eV per atom) = 0.406

---

Below is crystalline ScAgTeO at its relaxed geometry, with properties calculated at the PBE-GGA level.

Cell and atoms, written as CIF:
```
data_ScAgTeO
_symmetry_space_group_name_H-M 'P 1'
_symmetry_Int_Tables_number 1
_cell_length_a 5.4610
_cell_length_b 5.4610
_cell_length_c 9.9655
_cell_angle_alpha 90.00
_cell_angle_beta 90.00
_cell_angle_gamma 90.00
loop_
_symmetry_equiv_pos_as_xyz
'x,y,z'
loop_
_atom_site_label
_atom_site_fract_x
_atom_site_fract_y
_atom_site_fract_z
Sc1 0.0000 0.0000 0.0000
Sc2 0.0000 0.5000 0.1898
Sc3 0.5000 0.0000 0.1898
Sc4 0.5000 0.5000 0.0000
Ag1 0.1900 0.3100 0.5875
Ag2 0.3100 0.8100 0.5875
Ag3 0.6900 0.1900 0.5875
Ag4 0.8100 0.6900 0.5875
Te1 0.0000 0.0000 0.3741
Te2 0.0000 0.5000 0.8233
Te3 0.5000 0.0000 0.8233
Te4 0.5000 0.5000 0.3741
O1 0.2487 0.2513 0.0968
O2 0.2513 0.7513 0.0968
O3 0.7487 0.2487 0.0968
O4 0.7513 0.7487 0.0968
```

Results
- total energy (eV per cell) = -95.4